Below is NaVCu2O6 after structural relaxation, with properties calculated at the GGA+U level. Values from VASP.

Results
DFT total energy, eV per atom: -5.699
V, Å³ per cell: 273.81
Space group: C2/c, No. 15

Structure (Quantum ESPRESSO input):
```
&SYSTEM
  ibrav = 0, nat = 20, ntyp = 4
/
ATOMIC_SPECIES
Na 22.99 Na.upf
V 50.94 V.upf
Cu 63.55 Cu.upf
O 16.00 O.upf
CELL_PARAMETERS angstrom
6.7277 0.1513 0.1570
2.3403 6.4852 1.1346
2.3403 0.8935 6.5228
ATOMIC_POSITIONS crystal
Na 0.2500 0.7589 0.2411
Na 0.7500 0.2411 0.7589
V 0.2500 0.1743 0.8257
V 0.7500 0.8257 0.1743
Cu 0.3732 0.7550 0.6659
Cu 0.1268 0.3341 0.2450
Cu 0.6268 0.2450 0.3341
Cu 0.8732 0.6659 0.7550
O 0.2274 0.9206 0.8540
O 0.2726 0.1460 0.0794
O 0.7726 0.0794 0.1460
O 0.7274 0.8540 0.9206
O 0.5190 0.7607 0.3692
O 0.9810 0.6308 0.2393
O 0.4810 0.2393 0.6308
O 0.0190 0.3692 0.7607
O 0.1296 0.7429 0.6205
O 0.3704 0.3795 0.2571
O 0.8704 0.2571 0.3795
O 0.6296 0.6205 0.7429
```